VASP calculation (PBE) on an optimized crystal structure of KCr3Ge.

Lattice parameters (Å, degrees): 5.2360 5.2360 5.2360 90.00 90.00 90.00
Closest atoms and distances in Å follow each position.
Space group Pm-3m (No. 221)
Inequivalent atoms, fractional coordinates:
K (0.0000, 0.0000, 0.0000)  6 Cr 2.62
Cr (0.0000, 0.0000, 0.5000)  2 K 2.62
Ge (0.5000, 0.5000, 0.5000)  12 Cr 3.70

Output
energy relative to the elements	2.317	eV/atom
Fermi-level density of states	0.436	states/eV/atom